## La8Ho2Er (PBE-GGA)

Data for La8Ho2Er after structural relaxation.

Cell lengths 9.595, 9.595, 6.060 Å; angles 105.55, 105.55, 122.31 degrees
Element x y z (fractional)
La 0.095 0.333 0.684
La 0.206 0.794 0.000
La 0.333 0.095 0.684
La 0.420 0.420 0.201
La 0.580 0.580 0.799
La 0.667 0.905 0.316
La 0.794 0.206 0.000
La 0.905 0.667 0.316
Ho 0.311 0.689 0.500
Ho 0.689 0.311 0.500
Er 0.000 0.000 0.000

Output
E, eV/cell: -51.73
V, Å³/cell: 392
Energy of formation, eV per formula unit: 1.40
Total moment, μB per formula unit: 0.0
Space-group type: No. 12
E above lowest polymorph, meV per atom: 105.8

---

## CuF3 (PBE-GGA)

Data for CuF3 after structural relaxation.

Cell lengths 3.781, 3.781, 3.781 Å; angles 60.00, 60.00, 60.00 degrees
Element x y z (fractional)
Cu 0.000 0.000 0.000
F 0.250 0.250 0.250
F 0.500 0.500 0.500
F 0.750 0.750 0.750

Output
E, eV/cell: -11.98
V, Å³/cell: 38
Total moment, μB per formula unit: 2.0
Space-group type: No. 225
Formation energy without anion corrections, eV per atom: -0.569

---

Which of these has the highest V? La8Ho2Er